Entry 1:
Density functional theory data (GGA-PBEsol) for crystalline CaHg at its relaxed geometry.

Calculated values
Magnetization in μB/cell: 0.00
Energy relative to the elements in eV per atom: -0.51
Calculated total energy in eV per atom: -1.861

extended XYZ file:
```
8
Lattice="5.9870 0.0000 0.0000 0.0000 5.9870 0.0000 0.0000 0.0000 5.9870" Properties=species:S:1:pos:R:3 pbc="T T T"
Ca 0.4859 3.4794 5.5011
Ca 2.5076 2.5076 2.5076
Ca 5.5011 0.4859 3.4794
Ca 3.4794 5.5011 0.4859
Hg 2.4610 5.4545 3.5260
Hg 0.5325 0.5325 0.5325
Hg 3.5260 2.4610 5.4545
Hg 5.4545 3.5260 2.4610
```

---

Entry 2:
Density functional theory data (GGA-PBEsol) for crystalline Ce5AgSe8 at its relaxed geometry.

Calculated values
Magnetization in μB/cell: 5.07
Calculated total energy in eV per atom: -6.387
Energy relative to the elements, uncorrected in kcal/mol of atoms: -36.77

extended XYZ file:
```
14
Lattice="7.5438 -0.0015 0.0025 -2.5825 7.0880 -0.0025 2.5825 3.4720 6.1794" Properties=species:S:1:pos:R:3 pbc="T T T"
Ce 6.3329 2.1914 0.8267
Ce 3.6906 5.3351 1.5074
Ce 0.0068 9.2101 3.9115
Ce 0.0000 5.2800 3.0884
Ce 5.0573 4.3803 6.1131
Ag 3.7719 7.9192 4.6339
Se -0.9613 5.2155 0.1780
Se 6.6726 6.7455 5.4573
Se 2.7423 5.2555 4.4588
Se 1.6765 7.4978 2.2046
Se 1.5103 3.3655 1.4871
Se 7.8121 3.1952 5.3240
Se 5.4944 7.4508 2.3979
Se 5.2281 3.5082 3.2097
```